## Sm4AsSe2S (PBE)

Data for a geometry-optimized Sm4AsSe2S structure.

Values from the calculation:
Formation energy from raw total energies in eV per atom: -1.831
DOS at the Fermi energy in states/eV/cell: 3.037

Unit cell a=7.1408 b=4.1299 c=7.2516 alpha=90.00 beta=109.18 gamma=90.00
Closest atoms and distances in Å follow each position.
Fractional positions:
Sm 0.2397 0.0000 0.2314  2 S 2.85, 1 As 2.88, 3 Se 2.99-3.02
Sm 0.2507 0.5000 0.7650  1 S 2.85, 2 As 2.89, 3 Se 2.98-3.02
Sm 0.7493 0.5000 0.2350  1 S 2.85, 2 As 2.89, 3 Se 2.98-3.02
Sm 0.7603 0.0000 0.7686  2 S 2.85, 1 As 2.88, 3 Se 2.99-3.02
As 0.5000 0.0000 0.0000  6 Sm 2.88-2.89
Se 0.0000 0.0000 0.5000  6 Sm 2.98-2.99
Se 0.5000 0.5000 0.5000  6 Sm 3.02
S 0.0000 0.5000 0.0000  6 Sm 2.85